# 1
Entry from Alexandria: Ac2TbSb2Te2 after structural relaxation (PBE-GGA).

formation energy from raw total energies = -6.76 eV per formula unit
density = 6.7 g cm⁻³

a = 5.737 Å, b = 5.737 Å, c = 9.250 Å
α = 108.06°, β = 108.06°, γ = 90.00°
Element x y z (fractional)
Sb: 0.500 0.000 0.000
Sb: 0.000 0.500 0.000
Ac: 0.376 0.376 0.753
Ac: 0.624 0.624 0.247
Te: 0.816 0.816 0.632
Te: 0.184 0.184 0.368
Tb: 0.000 0.000 0.000


# 2
Entry from Alexandria: AcTbSbTe after structural relaxation (PBE-GGA).

formation energy from raw total energies = -4.95 eV per formula unit
density = 7.6 g cm⁻³

a = 4.465 Å, b = 4.465 Å, c = 8.414 Å
α = 90.01°, β = 105.37°, γ = 119.99°
Element x y z (fractional)
Sb: 0.290 0.543 0.849
Ac: 0.125 0.960 0.100
Tb: 0.482 0.139 0.636
Te: 0.981 0.389 0.385


# 3
Entry from Alexandria: AcTb2ThSb4 after structural relaxation (PBE-GGA).

formation energy from raw total energies = -8.80 eV per formula unit
density = 8.0 g cm⁻³

a = 4.530 Å, b = 7.798 Å, c = 7.864 Å
α = 70.53°, β = 90.00°, γ = 90.00°
Element x y z (fractional)
Sb: 0.000 0.766 0.736
Sb: 0.500 0.239 0.746
Sb: 0.000 0.234 0.264
Sb: 0.500 0.761 0.254
Tb: 0.500 0.000 0.500
Tb: 0.000 0.000 0.000
Ac: 0.500 0.500 0.000
Th: 0.000 0.500 0.500


# 4
Entry from Alexandria: AcTbTh2Sb4 after structural relaxation (PBE-GGA).

formation energy from raw total energies = -8.18 eV per formula unit
density = 8.3 g cm⁻³

a = 4.556 Å, b = 7.893 Å, c = 7.885 Å
α = 70.51°, β = 90.00°, γ = 90.00°
Element x y z (fractional)
Th: 0.500 0.000 0.500
Th: 0.000 0.000 0.000
Sb: 0.500 0.249 0.741
Sb: 0.500 0.751 0.259
Sb: 0.000 0.759 0.738
Sb: 0.000 0.241 0.262
Ac: 0.500 0.500 0.000
Tb: 0.000 0.500 0.500


# 5
Entry from Alexandria: AcTbZnSb after structural relaxation (PBE-GGA).

formation energy from raw total energies = -2.00 eV per formula unit
density = 8.3 g cm⁻³

a = 5.461 Å, b = 5.461 Å, c = 5.461 Å
α = 60.00°, β = 60.00°, γ = 60.00°
Element x y z (fractional)
Ac: 0.750 0.750 0.750
Tb: 0.250 0.250 0.250
Sb: 0.000 0.000 0.000
Zn: 0.500 0.500 0.500


# 6
Entry from Alexandria: Ac3TcSb after structural relaxation (PBE-GGA).

formation energy from raw total energies = -1.25 eV per formula unit
density = 8.4 g cm⁻³

a = 5.634 Å, b = 5.634 Å, c = 5.634 Å
α = 90.00°, β = 90.00°, γ = 90.00°
Element x y z (fractional)
Tc: 0.000 0.000 0.000
Ac: 0.000 0.500 0.000
Ac: 0.500 0.000 0.000
Ac: 0.000 0.000 0.500
Sb: 0.500 0.500 0.500


# 7
Entry from Alexandria: AcTc4Sb12 after structural relaxation (PBE-GGA).

formation energy from raw total energies = -2.42 eV per formula unit
density = 8.0 g cm⁻³

a = 8.245 Å, b = 8.245 Å, c = 8.245 Å
α = 109.47°, β = 109.47°, γ = 109.47°
Element x y z (fractional)
Tc: 0.000 0.500 0.000
Tc: 0.500 0.000 0.000
Tc: 0.500 0.500 0.500
Tc: 0.000 0.000 0.500
Sb: 0.660 0.500 0.840
Sb: 0.840 0.660 0.500
Sb: 0.340 0.500 0.160
Sb: 0.160 0.340 0.500
Sb: 0.180 0.840 0.340
Sb: 0.820 0.160 0.660
Sb: 0.660 0.820 0.160
Sb: 0.160 0.660 0.820
Sb: 0.500 0.160 0.340
Sb: 0.500 0.840 0.660
Sb: 0.840 0.340 0.180
Sb: 0.340 0.180 0.840
Ac: 0.000 0.000 0.000


# 8
Entry from Alexandria: AcSb2Te4 after structural relaxation (PBE-GGA).

formation energy from raw total energies = -3.75 eV per formula unit
density = 6.6 g cm⁻³

a = 4.737 Å, b = 7.445 Å, c = 14.797 Å
α = 90.00°, β = 90.00°, γ = 108.55°
Element x y z (fractional)
Sb: 0.128 0.256 0.444
Sb: 0.128 0.256 0.056
Sb: 0.872 0.744 0.944
Sb: 0.872 0.744 0.556
Te: 0.044 0.087 0.250
Te: 0.232 0.463 0.619
Te: 0.232 0.463 0.881
Te: 0.768 0.537 0.381
Te: 0.956 0.913 0.750
Te: 0.500 0.000 0.000
Te: 0.768 0.537 0.119
Te: 0.500 0.000 0.500
Ac: 0.383 0.766 0.250
Ac: 0.617 0.234 0.750


Question: Among the records above, which one has the lowest formation energy from raw total energies?
Answer: AcTb2ThSb4


What did the seventh record say?
Entry from Alexandria: AcTc4Sb12 after structural relaxation (PBE-GGA).

formation energy from raw total energies = -2.42 eV per formula unit
density = 8.0 g cm⁻³

a = 8.245 Å, b = 8.245 Å, c = 8.245 Å
α = 109.47°, β = 109.47°, γ = 109.47°
Element x y z (fractional)
Tc: 0.000 0.500 0.000
Tc: 0.500 0.000 0.000
Tc: 0.500 0.500 0.500
Tc: 0.000 0.000 0.500
Sb: 0.660 0.500 0.840
Sb: 0.840 0.660 0.500
Sb: 0.340 0.500 0.160
Sb: 0.160 0.340 0.500
Sb: 0.180 0.840 0.340
Sb: 0.820 0.160 0.660
Sb: 0.660 0.820 0.160
Sb: 0.160 0.660 0.820
Sb: 0.500 0.160 0.340
Sb: 0.500 0.840 0.660
Sb: 0.840 0.340 0.180
Sb: 0.340 0.180 0.840
Ac: 0.000 0.000 0.000


Question: Which value of formation energy from raw total energies does entry 3 give?
Answer: -8.80 eV per formula unit